Record 1
# Rb2HfAsF6, optimized geometry, DFT PBE
# * symmetry: No. 139
# * D(E_F): 0.00 states/eV/f.u.
# * total magnetization: 3.00 Bohr magnetons per cell
data_Rb2HfAsF6
_cell_length_a 6.992
_cell_length_b 6.992
_cell_length_c 7.018
_cell_angle_alpha 60.12
_cell_angle_beta 60.12
_cell_angle_gamma 90.00
_space_group_name_H-M_alt 'P 1'
_space_group_IT_number 1
_space_group_name_Hall 'P 1'
loop_
_atom_site_label
_atom_site_fract_x
_atom_site_fract_y
_atom_site_fract_z
F1 0.203 0.797 0.000
F2 0.797 0.797 0.000
F3 0.797 0.203 0.000
F4 0.799 0.799 0.403
F5 0.201 0.201 0.597
F6 0.203 0.203 0.000
Rb1 0.250 0.750 0.500
Rb2 0.750 0.250 0.500
As1 0.500 0.500 0.000
Hf1 0.000 0.000 0.000

Record 2
# HfSc2AsF, optimized geometry, DFT PBE
# * symmetry: No. 123
# * D(E_F): 7.58 states/eV/f.u.
# * total magnetization: 3.19 Bohr magnetons per cell
data_HfSc2AsF
_cell_length_a 5.105
_cell_length_b 5.012
_cell_length_c 5.105
_cell_angle_alpha 90.00
_cell_angle_beta 90.00
_cell_angle_gamma 90.00
_space_group_name_H-M_alt 'P 1'
_space_group_IT_number 1
_space_group_name_Hall 'P 1'
loop_
_atom_site_label
_atom_site_fract_x
_atom_site_fract_y
_atom_site_fract_z
As1 0.000 0.000 0.000
F1 0.500 0.500 0.500
Hf1 0.000 0.500 0.000
Sc1 0.500 0.000 0.000
Sc2 0.000 0.000 0.500

Record 3
# HfAs2SeF, optimized geometry, DFT PBE
# * symmetry: No. 123
# * D(E_F): 2.82 states/eV/f.u.
# * total magnetization: 0.00 Bohr magnetons per cell
data_HfAs2SeF
_cell_length_a 4.222
_cell_length_b 4.222
_cell_length_c 5.272
_cell_angle_alpha 90.00
_cell_angle_beta 90.00
_cell_angle_gamma 90.00
_space_group_name_H-M_alt 'P 1'
_space_group_IT_number 1
_space_group_name_Hall 'P 1'
loop_
_atom_site_label
_atom_site_fract_x
_atom_site_fract_y
_atom_site_fract_z
F1 0.000 0.000 0.000
Se1 0.000 0.000 0.500
As1 0.500 0.000 0.000
As2 0.000 0.500 0.000
Hf1 0.500 0.500 0.500

Record 4
# HfAs2SeF, optimized geometry, DFT PBE
# * symmetry: No. 123
# * D(E_F): 4.15 states/eV/f.u.
# * total magnetization: 0.00 Bohr magnetons per cell
data_HfAs2SeF
_cell_length_a 5.155
_cell_length_b 5.155
_cell_length_c 5.031
_cell_angle_alpha 90.00
_cell_angle_beta 90.00
_cell_angle_gamma 90.00
_space_group_name_H-M_alt 'P 1'
_space_group_IT_number 1
_space_group_name_Hall 'P 1'
loop_
_atom_site_label
_atom_site_fract_x
_atom_site_fract_y
_atom_site_fract_z
Hf1 0.000 0.000 0.000
As1 0.500 0.000 0.000
As2 0.000 0.500 0.000
F1 0.500 0.500 0.500
Se1 0.000 0.000 0.500

Record 5
# Hf2ZrAsF, optimized geometry, DFT PBE
# * symmetry: No. 123
# * D(E_F): 6.16 states/eV/f.u.
# * total magnetization: 0.00 Bohr magnetons per cell
data_Hf2ZrAsF
_cell_length_a 5.289
_cell_length_b 4.103
_cell_length_c 5.289
_cell_angle_alpha 90.00
_cell_angle_beta 90.00
_cell_angle_gamma 90.00
_space_group_name_H-M_alt 'P 1'
_space_group_IT_number 1
_space_group_name_Hall 'P 1'
loop_
_atom_site_label
_atom_site_fract_x
_atom_site_fract_y
_atom_site_fract_z
As1 0.500 0.500 0.500
Hf1 0.000 0.000 0.500
Hf2 0.500 0.000 0.000
Zr1 0.000 0.000 0.000
F1 0.000 0.500 0.000

Record 6
# HgAsF7, optimized geometry, DFT PBE
# * symmetry: No. 14
# * D(E_F): 0.00 states/eV/f.u.
# * total magnetization: 0.00 Bohr magnetons per cell
data_HgAsF7
_cell_length_a 10.202
_cell_length_b 7.332
_cell_length_c 7.955
_cell_angle_alpha 83.83
_cell_angle_beta 90.00
_cell_angle_gamma 90.00
_space_group_name_H-M_alt 'P 1'
_space_group_IT_number 1
_space_group_name_Hall 'P 1'
loop_
_atom_site_label
_atom_site_fract_x
_atom_site_fract_y
_atom_site_fract_z
F1 0.825 0.716 0.876
F2 0.806 0.380 0.644
F3 0.026 0.405 0.788
F4 0.974 0.595 0.212
F5 0.194 0.620 0.356
F6 0.574 0.922 0.746
F7 0.144 0.951 0.392
F8 0.635 0.158 0.397
F9 0.474 0.405 0.288
F10 0.012 0.294 0.502
F11 0.526 0.595 0.712
F12 0.426 0.078 0.254
F13 0.325 0.284 0.624
F14 0.488 0.294 0.002
F15 0.694 0.380 0.144
F16 0.512 0.706 0.998
F17 0.675 0.716 0.376
F18 0.856 0.049 0.608
F19 0.365 0.842 0.603
F20 0.074 0.078 0.754
F21 0.175 0.284 0.124
F22 0.988 0.706 0.498
F23 0.356 0.951 0.892
F24 0.926 0.922 0.246
F25 0.135 0.842 0.103
F26 0.865 0.158 0.897
F27 0.644 0.049 0.108
F28 0.306 0.620 0.856
As1 0.937 0.226 0.703
As2 0.437 0.774 0.797
As3 0.563 0.226 0.203
As4 0.063 0.774 0.297
Hg1 0.257 0.273 0.880
Hg2 0.757 0.727 0.620
Hg3 0.743 0.727 0.120
Hg4 0.243 0.273 0.380

Record 7
# Hg2AsF6, optimized geometry, DFT PBE
# * symmetry: No. 14
# * total magnetization: 0.00 Bohr magnetons per cell
data_Hg2AsF6
_cell_length_a 11.342
_cell_length_b 5.630
_cell_length_c 10.453
_cell_angle_alpha 89.13
_cell_angle_beta 90.00
_cell_angle_gamma 90.00
_space_group_name_H-M_alt 'P 1'
_space_group_IT_number 1
_space_group_name_Hall 'P 1'
loop_
_atom_site_label
_atom_site_fract_x
_atom_site_fract_y
_atom_site_fract_z
Hg1 0.569 0.999 0.116
Hg2 0.482 0.001 0.628
Hg3 0.431 0.001 0.884
Hg4 0.018 0.001 0.128
Hg5 0.518 0.999 0.372
Hg6 0.931 0.999 0.616
Hg7 0.982 0.999 0.872
Hg8 0.069 0.001 0.384
F1 0.726 0.242 0.948
F2 0.272 0.313 0.019
F3 0.197 0.688 0.787
F4 0.300 0.245 0.254
F5 0.200 0.245 0.754
F6 0.728 0.687 0.981
F7 0.632 0.501 0.327
F8 0.772 0.687 0.481
F9 0.697 0.312 0.713
F10 0.442 0.503 0.130
F11 0.226 0.758 0.552
F12 0.774 0.242 0.448
F13 0.303 0.688 0.287
F14 0.274 0.758 0.052
F15 0.132 0.499 0.173
F16 0.800 0.755 0.246
F17 0.868 0.501 0.827
F18 0.228 0.313 0.519
F19 0.368 0.499 0.673
F20 0.058 0.503 0.630
F21 0.558 0.497 0.870
F22 0.700 0.755 0.746
F23 0.942 0.497 0.370
F24 0.803 0.312 0.213
As1 0.788 0.499 0.347
As2 0.712 0.499 0.847
As3 0.288 0.501 0.153
As4 0.212 0.501 0.653

Record 8
# Hg2AsF6, optimized geometry, DFT PBE
# * symmetry: No. 141
# * D(E_F): 0.84 states/eV/f.u.
# * total magnetization: 0.00 Bohr magnetons per cell
data_Hg2AsF6
_cell_length_a 10.680
_cell_length_b 10.680
_cell_length_c 10.680
_cell_angle_alpha 149.04
_cell_angle_beta 149.04
_cell_angle_gamma 44.35
_space_group_name_H-M_alt 'P 1'
_space_group_IT_number 1
_space_group_name_Hall 'P 1'
loop_
_atom_site_label
_atom_site_fract_x
_atom_site_fract_y
_atom_site_fract_z
F1 0.280 0.280 0.559
F2 0.590 0.590 0.000
F3 0.470 0.530 0.500
F4 0.340 0.840 0.500
F5 0.410 0.410 0.000
F6 0.030 0.530 0.059
F7 0.470 0.970 0.941
F8 0.720 0.720 0.441
F9 0.280 0.720 0.000
F10 0.030 0.970 0.500
F11 0.720 0.280 0.000
F12 0.160 0.660 0.500
Hg1 0.875 0.125 0.750
Hg2 0.875 0.125 0.250
Hg3 0.875 0.625 0.750
Hg4 0.375 0.125 0.250
As1 0.500 0.500 0.000
As2 0.250 0.750 0.500

| no. | ΔE_f (raw) (eV per atom) |
| --- | --- |
| 1 | -2.730 |
| 2 | -0.085 |
| 3 | -0.116 |
| 4 | -0.121 |
| 5 | 0.115 |
| 6 | -1.889 |
| 7 | -1.753 |
| 8 | -1.740 |